Entry 1:
# Ba2GaHgTe5 | Alexandria | PBE | relaxed
data_Ba2GaHgTe5
_chemical_formula_sum 'Ba4 Ga2 Hg2 Te10'
_symmetry_space_group_name_H-M 'P 1'
_symmetry_Int_Tables_number 1
_cell_length_a 4.4809
_cell_length_b 11.1763
_cell_length_c 13.3613
_cell_angle_alpha 90.00
_cell_angle_beta 90.00
_cell_angle_gamma 101.56
loop_
_symmetry_equiv_pos_as_xyz
'x,y,z'
loop_
_atom_site_label
_atom_site_type_symbol
_atom_site_fract_x
_atom_site_fract_y
_atom_site_fract_z
Ba1 Ba 0.8843 0.7687 0.1797
Ba2 Ba 0.8842 0.7683 0.7922
Ba3 Ba 0.1157 0.2313 0.6797
Ba4 Ba 0.1158 0.2317 0.2922
Te1 Te 0.3118 0.6237 0.3912
Te2 Te 0.7233 0.4465 0.1789
Te3 Te 0.6882 0.3763 0.8912
Te4 Te 0.6352 0.2705 0.4873
Te5 Te 0.4920 0.9841 0.2718
Te6 Te 0.5080 0.0159 0.7718
Te7 Te 0.3648 0.7295 0.9873
Te8 Te 0.2767 0.5535 0.6789
Te9 Te 0.9598 0.9196 0.5500
Te10 Te 0.0402 0.0804 0.0500
Ga1 Ga 0.4317 0.8633 0.4435
Ga2 Ga 0.5683 0.1367 0.9435
Hg1 Hg 0.2379 0.4757 0.0294
Hg2 Hg 0.7621 0.5243 0.5294
# ΔE_f (raw) = -0.8303 eV/atom
# Energy = -3.373 eV/atom
# Calculated volume = 655.6 Å³ per cell

Entry 2:
# YAs2W | Alexandria | PBE | relaxed
data_YAs2W
_chemical_formula_sum 'Y1 As2 W1'
_symmetry_space_group_name_H-M 'P 1'
_symmetry_Int_Tables_number 1
_cell_length_a 3.5768
_cell_length_b 3.5768
_cell_length_c 6.1040
_cell_angle_alpha 90.00
_cell_angle_beta 90.00
_cell_angle_gamma 90.00
loop_
_symmetry_equiv_pos_as_xyz
'x,y,z'
loop_
_atom_site_label
_atom_site_type_symbol
_atom_site_fract_x
_atom_site_fract_y
_atom_site_fract_z
W1 W 0.0000 0.0000 0.4355
As1 As 0.5000 0.5000 0.2948
As2 As 0.0000 0.0000 0.9880
Y1 Y 0.5000 0.5000 0.7817
# ΔE to the lowest computed polymorph = 0.242 eV per atom
# Energy = -7.376 eV/atom
# Energy of formation from the pure elements = -0.79 eV/f.u.
# Calculated volume = 78.1 Å³ per cell

Entry 3:
# Sc5Cd2Ga2 | Alexandria | PBE | relaxed
data_Sc5Cd2Ga2
_chemical_formula_sum 'Sc10 Cd4 Ga4'
_symmetry_space_group_name_H-M 'P 1'
_symmetry_Int_Tables_number 1
_cell_length_a 7.1278
_cell_length_b 7.1504
_cell_length_c 8.5635
_cell_angle_alpha 114.68
_cell_angle_beta 90.00
_cell_angle_gamma 90.00
loop_
_symmetry_equiv_pos_as_xyz
'x,y,z'
loop_
_atom_site_label
_atom_site_type_symbol
_atom_site_fract_x
_atom_site_fract_y
_atom_site_fract_z
Ga1 Ga 0.3756 0.1236 0.0000
Ga2 Ga 0.8756 0.3764 0.0000
Ga3 Ga 0.6244 0.8764 0.0000
Ga4 Ga 0.1244 0.6236 0.0000
Cd1 Cd 0.5000 0.2781 0.5562
Cd2 Cd 0.0000 0.2219 0.4438
Cd3 Cd 0.5000 0.7219 0.4438
Cd4 Cd 0.0000 0.7781 0.5562
Sc1 Sc 0.5000 0.5000 0.0000
Sc2 Sc 0.8215 0.5577 0.7481
Sc3 Sc 0.3215 0.9423 0.2519
Sc4 Sc 0.6785 0.3096 0.2519
Sc5 Sc 0.0000 0.0000 0.0000
Sc6 Sc 0.3215 0.6904 0.7481
Sc7 Sc 0.1785 0.1904 0.7481
Sc8 Sc 0.8215 0.8096 0.2519
Sc9 Sc 0.1785 0.4423 0.2519
Sc10 Sc 0.6785 0.0577 0.7481
# Energy = -4.783 eV/atom
# Energy of formation from the pure elements = -3.50 eV/f.u.
# Calculated volume = 396.6 Å³ per cell

Entry 4:
# Ca2GaSi4Ir3 | Alexandria | PBE | relaxed
data_Ca2GaSi4Ir3
_chemical_formula_sum 'Ca2 Ga1 Si4 Ir3'
_symmetry_space_group_name_H-M 'P 1'
_symmetry_Int_Tables_number 1
_cell_length_a 4.1101
_cell_length_b 4.1101
_cell_length_c 10.3012
_cell_angle_alpha 90.00
_cell_angle_beta 90.00
_cell_angle_gamma 90.00
loop_
_symmetry_equiv_pos_as_xyz
'x,y,z'
loop_
_atom_site_label
_atom_site_type_symbol
_atom_site_fract_x
_atom_site_fract_y
_atom_site_fract_z
Ir1 Ir 0.5000 0.0000 0.8760
Ir2 Ir 0.0000 0.5000 0.1240
Ir3 Ir 0.0000 0.0000 0.5000
Si1 Si 0.5000 0.0000 0.6413
Si2 Si 0.0000 0.0000 0.0000
Si3 Si 0.5000 0.5000 0.0000
Si4 Si 0.0000 0.5000 0.3587
Ga1 Ga 0.5000 0.5000 0.5000
Ca1 Ca 0.0000 0.5000 0.7544
Ca2 Ca 0.5000 0.0000 0.2456
# ΔE_f (raw) = -0.6964 eV/atom
# Energy = -6.227 eV/atom
# Calculated volume = 174.0 Å³ per cell

Entry 5:
# Np2Ni15Pt2 | Alexandria | PBE | relaxed
data_Np2Ni15Pt2
_chemical_formula_sum 'Np2 Ni15 Pt2'
_symmetry_space_group_name_H-M 'P 1'
_symmetry_Int_Tables_number 1
_cell_length_a 6.3146
_cell_length_b 6.3146
_cell_length_c 6.3146
_cell_angle_alpha 82.99
_cell_angle_beta 82.99
_cell_angle_gamma 82.99
loop_
_symmetry_equiv_pos_as_xyz
'x,y,z'
loop_
_atom_site_label
_atom_site_type_symbol
_atom_site_fract_x
_atom_site_fract_y
_atom_site_fract_z
Ni1 Ni 0.8395 0.3519 0.3519
Ni2 Ni 0.5000 0.0000 0.0000
Ni3 Ni 0.3013 0.6987 0.0000
Ni4 Ni 0.6481 0.6481 0.1605
Ni5 Ni 0.0000 0.0000 0.5000
Ni6 Ni 0.3519 0.3519 0.8395
Ni7 Ni 0.6481 0.1605 0.6481
Ni8 Ni 0.6987 0.3013 0.0000
Ni9 Ni 0.0000 0.5000 0.0000
Ni10 Ni 0.3013 0.0000 0.6987
Ni11 Ni 0.6987 0.0000 0.3013
Ni12 Ni 0.1605 0.6481 0.6481
Ni13 Ni 0.0000 0.3013 0.6987
Ni14 Ni 0.0000 0.6987 0.3013
Ni15 Ni 0.3519 0.8395 0.3519
Pt1 Pt 0.8915 0.8915 0.8915
Pt2 Pt 0.1085 0.1085 0.1085
Np1 Np 0.6568 0.6568 0.6568
Np2 Np 0.3432 0.3432 0.3432
# Energy = -6.678 eV/atom
# Energy of formation from the pure elements = -2.19 eV/f.u.
# Calculated volume = 246.6 Å³ per cell

Entry 6:
# TbPm7Ho12 | Alexandria | PBE | relaxed
data_TbPm7Ho12
_chemical_formula_sum 'Tb1 Pm7 Ho12'
_symmetry_space_group_name_H-M 'P 1'
_symmetry_Int_Tables_number 1
_cell_length_a 8.7613
_cell_length_b 8.7613
_cell_length_c 8.7613
_cell_angle_alpha 86.00
_cell_angle_beta 86.00
_cell_angle_gamma 86.00
loop_
_symmetry_equiv_pos_as_xyz
'x,y,z'
loop_
_atom_site_label
_atom_site_type_symbol
_atom_site_fract_x
_atom_site_fract_y
_atom_site_fract_z
Ho1 Ho 0.8534 0.2542 0.7272
Ho2 Ho 0.7272 0.8534 0.2542
Ho3 Ho 0.7458 0.2728 0.1466
Ho4 Ho 0.4967 0.6180 0.1341
Ho5 Ho 0.2728 0.1466 0.7458
Ho6 Ho 0.3820 0.8659 0.5033
Ho7 Ho 0.8659 0.5033 0.3820
Ho8 Ho 0.5033 0.3820 0.8659
Ho9 Ho 0.1341 0.4967 0.6180
Ho10 Ho 0.6180 0.1341 0.4967
Ho11 Ho 0.1466 0.7458 0.2728
Ho12 Ho 0.2542 0.7272 0.8534
Pm1 Pm 0.1551 0.3987 0.0769
Pm2 Pm 0.0769 0.1551 0.3987
Pm3 Pm 0.9231 0.8449 0.6013
Pm4 Pm 0.6013 0.9231 0.8449
Pm5 Pm 0.5000 0.5000 0.5000
Pm6 Pm 0.8449 0.6013 0.9231
Pm7 Pm 0.3987 0.0769 0.1551
Tb1 Tb 0.0000 0.0000 0.0000
# ΔE to the lowest computed polymorph = 0.000 eV per atom
# Energy = -4.407 eV/atom
# Energy of formation from the pure elements = 4.68 eV/f.u.
# Calculated volume = 667.8 Å³ per cell

Entry 7:
# CuHg2As | Alexandria | PBE | relaxed
data_CuHg2As
_chemical_formula_sum 'Cu1 Hg2 As1'
_symmetry_space_group_name_H-M 'P 1'
_symmetry_Int_Tables_number 1
_cell_length_a 5.2250
_cell_length_b 5.2250
_cell_length_c 6.3062
_cell_angle_alpha 67.70
_cell_angle_beta 67.70
_cell_angle_gamma 33.13
loop_
_symmetry_equiv_pos_as_xyz
'x,y,z'
loop_
_atom_site_label
_atom_site_type_symbol
_atom_site_fract_x
_atom_site_fract_y
_atom_site_fract_z
As1 As 0.5875 0.5875 0.5005
Cu1 Cu 0.1958 0.1958 0.1643
Hg1 Hg 0.7716 0.7716 0.7411
Hg2 Hg 0.9452 0.9452 0.0942
# Energy = -2.161 eV/atom
# Energy of formation from the pure elements = 0.71 eV/f.u.
# Calculated volume = 86.4 Å³ per cell

Entry 8:
# LiTb6Pd5 | Alexandria | PBE | relaxed
data_LiTb6Pd5
_chemical_formula_sum 'Li1 Tb6 Pd5'
_symmetry_space_group_name_H-M 'P 1'
_symmetry_Int_Tables_number 1
_cell_length_a 4.9992
_cell_length_b 8.6869
_cell_length_c 8.6869
_cell_angle_alpha 120.26
_cell_angle_beta 106.72
_cell_angle_gamma 106.72
loop_
_symmetry_equiv_pos_as_xyz
'x,y,z'
loop_
_atom_site_label
_atom_site_type_symbol
_atom_site_fract_x
_atom_site_fract_y
_atom_site_fract_z
Tb1 Tb 0.7456 0.5756 0.9156
Tb2 Tb 0.7601 0.2600 0.2600
Tb3 Tb 0.2544 0.4244 0.0844
Tb4 Tb 0.7456 0.9156 0.5756
Tb5 Tb 0.2544 0.0844 0.4244
Tb6 Tb 0.2399 0.7400 0.7400
Pd1 Pd 0.0000 0.6705 0.3295
Pd2 Pd 0.5000 0.8445 0.1555
Pd3 Pd 0.0000 0.3295 0.6705
Pd4 Pd 0.5000 0.5000 0.5000
Pd5 Pd 0.5000 0.1555 0.8445
Li1 Li 0.0000 0.0000 0.0000
# Energy = -5.359 eV/atom
# Energy of formation from the pure elements = -8.65 eV/f.u.
# Calculated volume = 266.0 Å³ per cell

Entry 9:
# SmMgSc2 | Alexandria | PBE | relaxed
data_SmMgSc2
_chemical_formula_sum 'Sm1 Mg1 Sc2'
_symmetry_space_group_name_H-M 'P 1'
_symmetry_Int_Tables_number 1
_cell_length_a 3.3757
_cell_length_b 3.3757
_cell_length_c 9.2763
_cell_angle_alpha 90.00
_cell_angle_beta 90.00
_cell_angle_gamma 90.00
loop_
_symmetry_equiv_pos_as_xyz
'x,y,z'
loop_
_atom_site_label
_atom_site_type_symbol
_atom_site_fract_x
_atom_site_fract_y
_atom_site_fract_z
Sc1 Sc 0.5000 0.5000 0.7479
Sc2 Sc 0.0000 0.0000 0.9837
Sm1 Sm 0.5000 0.5000 0.2513
Mg1 Mg 0.0000 0.0000 0.5171
# ΔE to the lowest computed polymorph = 0.003 eV per atom
# Energy = -4.742 eV/atom
# Energy of formation from the pure elements = 0.01 eV/f.u.
# Calculated volume = 105.7 Å³ per cell

Entry 10:
# Co2PBr | Alexandria | PBE | relaxed
data_Co2PBr
_chemical_formula_sum 'Co2 P1 Br1'
_symmetry_space_group_name_H-M 'P 1'
_symmetry_Int_Tables_number 1
_cell_length_a 6.7009
_cell_length_b 6.7009
_cell_length_c 6.7009
_cell_angle_alpha 151.55
_cell_angle_beta 151.55
_cell_angle_gamma 40.68
loop_
_symmetry_equiv_pos_as_xyz
'x,y,z'
loop_
_atom_site_label
_atom_site_type_symbol
_atom_site_fract_x
_atom_site_fract_y
_atom_site_fract_z
Co1 Co 0.2500 0.7500 0.5000
Co2 Co 0.0000 0.0000 0.0000
Br1 Br 0.7500 0.2500 0.5000
P1 P 0.5000 0.5000 0.0000
# ΔE to the lowest computed polymorph = 0.874 eV per atom
# ΔE_f (raw) = 0.6697 eV/atom
# Energy = -4.654 eV/atom
# Calculated volume = 68.2 Å³ per cell